No. 1
Crystalline Pm2Nd4Tm3 at its relaxed geometry. Source: the Alexandria database, functional GGA-PBE.

Calculated values
The calculation puts the energy above the most stable polymorph in this dataset at 0.035 eV/atom. The space-group type is P3m1. The calculation puts the spin magnetization at 0.00 μB per cell. The density of states at the Fermi level is 15.8 states/eV/cell. As for the energy of formation from the pure elements: 53 meV per atom.

Lattice parameters (Å, degrees): 3.6211 3.6211 26.8653 90.00 90.00 120.00
With the nearest neighbours (Å) after each atom.
Fractional positions:
1 Tm 0.0000 0.0000 0.3240  6 Nd 3.50-3.56, 6 Tm 3.62
2 Nd 0.6667 0.3333 0.2195  3 Tm 3.50, 1 Pm 3.61, 6 Nd 3.62
3 Pm 0.6667 0.3333 0.8749  3 Tm 3.54, 6 Pm 3.62, 3 Nd 3.72
4 Pm 0.6667 0.3333 0.0851  3 Tm 3.48, 1 Nd 3.61, 6 Pm 3.62
5 Nd 0.0000 0.0000 0.5468  3 Tm 3.55, 9 Nd 3.62-3.74
6 Tm 0.0000 0.0000 0.9814  6 Pm 3.48-3.54, 6 Tm 3.62
7 Nd 0.6667 0.3333 0.4312  3 Tm 3.56, 9 Nd 3.62-3.74
8 Tm 0.6667 0.3333 0.6536  6 Nd 3.55, 6 Tm 3.62
9 Nd 0.0000 0.0000 0.7606  3 Tm 3.55, 6 Nd 3.62, 3 Pm 3.72

***

No. 2
Crystalline Pu7Ge2Sb2 at its relaxed geometry. Source: the Alexandria database, functional GGA-PBE.

Calculated values
The space-group type is Cmmm. The calculation puts the spin magnetization at 30.22 μB per cell. The density of states at the Fermi level is 49.8 states/eV/cell. For the uncorrected formation energy, the calculation gives -3.70 kcal/mol of atoms.

Lattice parameters (Å, degrees): 7.4863 5.8660 7.4863 90.00 97.86 90.00
With the nearest neighbours (Å) after each atom.
Fractional positions:
1 Pu 0.0001 0.2587 0.5001  2 Pu 2.83-3.03, 2 Ge 2.90
2 Ge 0.2698 0.9998 0.7302  7 Pu 2.90-3.05
3 Sb 0.8014 0.5000 0.8014  8 Pu 3.20-3.52
4 Pu 0.9999 0.7413 0.4999  2 Pu 2.83-3.03, 2 Ge 2.90
5 Pu 0.5001 0.7413 0.0001  2 Pu 2.83-3.03, 2 Ge 2.90
6 Pu 0.5000 0.7469 0.5000  2 Pu 2.90-2.97, 2 Ge 2.99
7 Pu 0.0000 0.0000 0.0000  2 Ge 3.05
8 Pu 0.4999 0.2587 0.9999  2 Pu 2.83-3.03, 2 Ge 2.90
9 Sb 0.1986 0.5000 0.1986  8 Pu 3.20-3.52
10 Ge 0.7302 0.0002 0.2698  7 Pu 2.90-3.05
11 Pu 0.5000 0.2531 0.5000  2 Pu 2.90-2.97, 2 Ge 2.99

***

No. 3
Crystalline TiBe2Rh at its relaxed geometry. Source: the Alexandria database, functional GGA-PBE.

Calculated values
The space-group type is P4/mmm. The calculation puts the spin magnetization at 0.00 μB per cell. The density of states at the Fermi level is 3.1 states/eV/cell. As for the energy of formation from the pure elements: -290 meV per atom.

Lattice parameters (Å, degrees): 3.7749 3.5767 3.5767 90.00 90.00 90.00
With the nearest neighbours (Å) after each atom.
Fractional positions:
1 Ti 0.5000 0.0000 0.0000  4 Rh 2.53, 8 Be 2.60
2 Be 0.0000 0.5000 0.0000  4 Be 2.53, 4 Rh 2.60, 4 Ti 2.60
3 Rh 0.5000 0.5000 0.5000  4 Ti 2.53, 8 Be 2.60
4 Be 0.0000 0.0000 0.5000  4 Be 2.53, 4 Rh 2.60, 4 Ti 2.60

***

No. 4
Crystalline Er12Pb3O5 at its relaxed geometry. Source: the Alexandria database, functional GGA-PBE.

Calculated values
The space-group type is Ia-3d. The calculation puts the spin magnetization at 0.01 μB per cell. The density of states at the Fermi level is 70.4 states/eV/cell. For the uncorrected formation energy, the calculation gives -35.81 kcal/mol of atoms.

Lattice parameters (Å, degrees): 13.4481 13.4481 13.4481 109.47 109.47 109.47
With the nearest neighbours (Å) after each atom.
Fractional positions:
1 Er 0.8952 0.5895 0.9002  1 O 2.18
2 O 0.1250 0.3750 0.2500  4 Er 2.18
3 Er 0.8057 0.4950 0.3952  1 O 2.18
4 O 0.8750 0.2500 0.6250  4 Er 2.18
5 O 0.7500 0.6250 0.3750  4 Er 2.18
6 Er 0.3107 0.8057 0.4105  1 O 2.18
7 O 0.8750 0.6250 0.7500  4 Er 2.18
8 O 0.7500 0.1250 0.8750  4 Er 2.18
9 Er 0.6943 0.5895 0.1893  1 O 2.18
10 O 0.5000 0.0000 0.5000  6 Er 2.49
11 O 0.5000 0.0000 0.0000  6 Er 2.49
12 Er 0.4950 0.6893 0.0998  1 O 2.18
13 Er 0.5998 0.9950 0.6893  1 O 2.18
14 O 0.2500 0.3750 0.6250  4 Er 2.18
15 Er 0.6943 0.1048 0.0050  1 O 2.18
16 Er 0.4950 0.8057 0.8952  1 O 2.18
17 O 0.0000 0.5000 0.5000  6 Er 2.49
18 Er 0.3057 0.4105 0.8107  1 O 2.18
19 Er 0.1048 0.6943 0.5050  1 O 2.18
20 Er 0.8057 0.3107 0.9105  1 O 2.18
21 Pb 0.3750 0.6250 0.2500  8 Er 3.14-3.23
22 Er 0.1943 0.5050 0.6048  1 O 2.18
23 Er 0.8107 0.9002 0.0050  1 O 2.18
24 Pb 0.1250 0.2500 0.8750  8 Er 3.14-3.23
25 Pb 0.8750 0.1250 0.2500  8 Er 3.14-3.23
26 Er 0.5050 0.1943 0.1048  1 O 2.18
27 Er 0.8107 0.9105 0.3057  1 O 2.18
28 Er 0.5895 0.6943 0.6893  1 O 2.18
29 Er 0.3107 0.5050 0.4002  1 O 2.18
30 Pb 0.2500 0.6250 0.8750  8 Er 3.14-3.23
31 Er 0.6893 0.4950 0.5998  1 O 2.18
32 O 0.2500 0.8750 0.1250  4 Er 2.18
33 O 0.3750 0.2500 0.1250  4 Er 2.18
34 Er 0.0050 0.4002 0.8107  1 O 2.18
35 Er 0.1048 0.4105 0.0998  1 O 2.18
36 Pb 0.6250 0.2500 0.3750  8 Er 3.14-3.23
37 O 0.0000 0.0000 0.5000  6 Er 2.49
38 O 0.1250 0.7500 0.3750  4 Er 2.18
39 Er 0.1943 0.6893 0.0895  1 O 2.18
40 Er 0.8952 0.3057 0.4950  1 O 2.18
41 Er 0.3952 0.4002 0.0895  1 O 2.18
42 Er 0.4105 0.3057 0.3107  1 O 2.18
43 Pb 0.6250 0.3750 0.7500  8 Er 3.14-3.23
44 Pb 0.7500 0.3750 0.1250  8 Er 3.14-3.23
45 O 0.0000 0.0000 0.0000  6 Er 2.49
46 Er 0.3952 0.9950 0.8057  1 O 2.18
47 Er 0.0050 0.6048 0.6943  1 O 2.18
48 Er 0.1893 0.0998 0.9950  1 O 2.18
49 Pb 0.2500 0.1250 0.3750  8 Er 3.14-3.23
50 Er 0.9105 0.0998 0.6048  1 O 2.18
51 Er 0.6048 0.5998 0.9105  1 O 2.18
52 Er 0.9002 0.0895 0.8952  1 O 2.18
53 Er 0.9950 0.5998 0.1893  1 O 2.18
54 O 0.6250 0.8750 0.2500  4 Er 2.18
55 Er 0.5998 0.6048 0.4105  1 O 2.18
56 Er 0.5895 0.8952 0.4002  1 O 2.18
57 O 0.5000 0.5000 0.5000  6 Er 2.49
58 Er 0.0895 0.9002 0.3952  1 O 2.18
59 Pb 0.8750 0.7500 0.1250  8 Er 3.14-3.23
60 Pb 0.7500 0.8750 0.6250  8 Er 3.14-3.23
61 Er 0.4002 0.0050 0.3107  1 O 2.18
62 Er 0.9002 0.8107 0.5050  1 O 2.18
63 O 0.6250 0.7500 0.8750  4 Er 2.18
64 O 0.5000 0.5000 0.0000  6 Er 2.49
65 Er 0.4002 0.3952 0.5895  1 O 2.18
66 Er 0.0998 0.1893 0.4950  1 O 2.18
67 Er 0.0895 0.1893 0.1943  1 O 2.18
68 Er 0.6048 0.0050 0.1943  1 O 2.18
69 Er 0.1893 0.0895 0.6943  1 O 2.18
70 Pb 0.1250 0.8750 0.7500  8 Er 3.14-3.23
71 O 0.3750 0.1250 0.7500  4 Er 2.18
72 Er 0.5050 0.3107 0.9002  1 O 2.18
73 Er 0.0998 0.9105 0.1048  1 O 2.18
74 Er 0.3057 0.8952 0.9950  1 O 2.18
75 O 0.0000 0.5000 0.0000  6 Er 2.49
76 Er 0.6893 0.1943 0.5895  1 O 2.18
77 Er 0.9105 0.8107 0.8057  1 O 2.18
78 Er 0.4105 0.1048 0.5998  1 O 2.18
79 Er 0.9950 0.3952 0.3057  1 O 2.18
80 Pb 0.3750 0.7500 0.6250  8 Er 3.14-3.23

***

No. 5
Crystalline HoBiPd14 at its relaxed geometry. Source: the Alexandria database, functional GGA-PBE.

Calculated values
The space-group type is P4/mmm. The calculation puts the spin magnetization at 0.00 μB per cell. The density of states at the Fermi level is 26.1 states/eV/cell. As for the energy of formation from the pure elements: -270 meV per atom.

Lattice parameters (Å, degrees): 5.7531 5.7531 7.9507 90.00 90.00 90.00
With the nearest neighbours (Å) after each atom.
Fractional positions:
1 Pd 0.3750 0.3750 0.0000  12 Pd 2.81-2.88
2 Pd 0.3750 0.8750 0.0000  12 Pd 2.80-2.88
3 Pd 0.8750 0.8750 0.0000  12 Pd 2.80-2.88
4 Pd 0.1244 0.1244 0.2424  10 Pd 2.80-2.89, 1 Ho 2.88, 1 Bi 2.89
5 Pd 0.6257 0.1243 0.2424  10 Pd 2.80-2.89, 1 Ho 2.88, 1 Bi 2.89
6 Pd 0.3750 0.8750 0.5000  2 Ho 2.88, 2 Bi 2.88, 8 Pd 2.89
7 Pd 0.1244 0.1244 0.7576  10 Pd 2.80-2.89, 1 Ho 2.88, 1 Bi 2.89
8 Ho 0.8750 0.8750 0.5000  12 Pd 2.88
9 Pd 0.1243 0.6257 0.2424  10 Pd 2.80-2.89, 1 Ho 2.88, 1 Bi 2.89
10 Pd 0.6256 0.6256 0.7576  10 Pd 2.80-2.89, 1 Ho 2.88, 1 Bi 2.89
11 Pd 0.1243 0.6257 0.7576  10 Pd 2.80-2.89, 1 Ho 2.88, 1 Bi 2.89
12 Pd 0.8750 0.3750 0.5000  2 Ho 2.88, 2 Bi 2.88, 8 Pd 2.89
13 Pd 0.6257 0.1243 0.7576  10 Pd 2.80-2.89, 1 Ho 2.88, 1 Bi 2.89
14 Pd 0.6256 0.6256 0.2424  10 Pd 2.80-2.89, 1 Ho 2.88, 1 Bi 2.89
15 Bi 0.3750 0.3750 0.5000  12 Pd 2.88-2.89
16 Pd 0.8750 0.3750 0.0000  12 Pd 2.80-2.88

***

No. 6
Crystalline InCoS at its relaxed geometry. Source: the Alexandria database, functional GGA-PBE.

Calculated values
The space-group type is C2/m. The calculation puts the spin magnetization at 0.00 μB per cell. The density of states at the Fermi level is 6.9 states/eV/cell. For the uncorrected formation energy, the calculation gives -0.60 kcal/mol of atoms.

Lattice parameters (Å, degrees): 4.3561 6.6046 8.1174 93.89 105.56 90.00
With the nearest neighbours (Å) after each atom.
Fractional positions:
1 In 0.0708 0.3117 0.1416  2 S 2.80-2.83, 2 In 3.11
2 Co 0.3181 0.4213 0.6361  4 S 2.21-2.28
3 S 0.2296 0.1309 0.4592  4 Co 2.23-2.28
4 Co 0.3071 0.8596 0.6142  4 S 2.19-2.25
5 S 0.2068 0.6100 0.4137  4 Co 2.19-2.22
6 Co 0.6929 0.1404 0.3858  4 S 2.19-2.25
7 Co 0.6819 0.5787 0.3639  4 S 2.21-2.28
8 S 0.7704 0.8691 0.5408  4 Co 2.23-2.28
9 In 0.5616 0.8350 0.1233  2 Co 2.62-2.77
10 S 0.7932 0.3900 0.5863  4 Co 2.19-2.22
11 In 0.9292 0.6883 0.8584  2 S 2.80-2.83, 2 In 3.11
12 In 0.4384 0.1650 0.8767  2 Co 2.62-2.77

***

No. 7
Crystalline ZrAsBr2 at its relaxed geometry. Source: the Alexandria database, functional GGA-PBE.

Calculated values
The calculation puts the energy above the most stable polymorph in this dataset at 0.293 eV/atom. The space-group type is R3m. The calculation puts the spin magnetization at 0.00 μB per cell. The density of states at the Fermi level is 2.2 states/eV/cell. For the uncorrected formation energy, the calculation gives -12.30 kcal/mol of atoms.

Lattice parameters (Å, degrees): 9.4920 9.4920 9.4920 21.61 21.61 21.61
With the nearest neighbours (Å) after each atom.
Fractional positions:
1 As 0.7617 0.7617 0.7617  3 Zr 2.76, 3 Br 3.03
2 Zr 0.4945 0.4945 0.4945  3 As 2.76, 3 Br 2.78
3 Br 0.0152 0.0152 0.0152  3 As 3.03
4 Br 0.2286 0.2286 0.2286  3 Zr 2.78

***

No. 8
Crystalline TlNi2Br6 at its relaxed geometry. Source: the Alexandria database, functional GGA-PBE.

Calculated values
The space-group type is P-31m. The calculation puts the spin magnetization at 2.97 μB per cell. The density of states at the Fermi level is 5.4 states/eV/cell. For the uncorrected formation energy, the calculation gives -9.05 kcal/mol of atoms.

Lattice parameters (Å, degrees): 7.2113 6.5395 6.5395 120.00 90.00 90.00
With the nearest neighbours (Å) after each atom.
Fractional positions:
1 Ni 0.5000 0.6667 0.3333  6 Br 2.50
2 Br 0.6972 0.3730 0.0000  2 Ni 2.50
3 Br 0.3028 0.0000 0.6270  2 Ni 2.50
4 Br 0.3028 0.3730 0.3730  2 Ni 2.50
5 Tl 0.0000 0.0000 0.0000  6 Br 3.27
6 Ni 0.5000 0.3333 0.6667  6 Br 2.50
7 Br 0.3028 0.6270 0.0000  2 Ni 2.50
8 Br 0.6972 0.0000 0.3730  2 Ni 2.50
9 Br 0.6972 0.6270 0.6270  2 Ni 2.50

***

No. 9
Crystalline HfReI2 at its relaxed geometry. Source: the Alexandria database, functional GGA-PBE.

Calculated values
The calculation puts the energy above the most stable polymorph in this dataset at 0.345 eV/atom. The space-group type is I-42d. The calculation puts the spin magnetization at 0.00 μB per cell. The density of states at the Fermi level is 6.8 states/eV/cell. For the uncorrected formation energy, the calculation gives 31.25 kcal/mol of atoms.

Lattice parameters (Å, degrees): 6.3659 6.3659 7.3606 64.38 64.38 90.00
With the nearest neighbours (Å) after each atom.
Fractional positions:
1 Hf 0.5000 0.5000 0.0000  4 I 2.79
2 Hf 0.2500 0.7500 0.5000  4 I 2.79
3 I 0.8750 0.9041 0.7500  2 Re 2.57, 2 Hf 2.79
4 I 0.0959 0.6250 0.2500  2 Re 2.57, 2 Hf 2.79
5 Re 0.7500 0.2500 0.5000  4 I 2.57
6 Re 0.0000 0.0000 0.0000  4 I 2.57
7 I 0.3750 0.3459 0.7500  2 Re 2.57, 2 Hf 2.79
8 I 0.6541 0.1250 0.2500  2 Re 2.57, 2 Hf 2.79

***

No. 10
Crystalline LiHgOs3 at its relaxed geometry. Source: the Alexandria database, functional GGA-PBE.

Calculated values
The calculation puts the energy above the most stable polymorph in this dataset at 0.000 eV/atom. The space-group type is Pm-3m. The calculation puts the spin magnetization at 1.85 μB per cell. The density of states at the Fermi level is 4.8 states/eV/cell. As for the energy of formation from the pure elements: 1618 meV per atom.

Lattice parameters (Å, degrees): 4.2116 4.2116 4.2116 90.00 90.00 90.00
With the nearest neighbours (Å) after each atom.
Fractional positions:
1 Os 0.0000 0.5000 0.0000  2 Li 2.11
2 Li 0.0000 0.0000 0.0000  6 Os 2.11
3 Hg 0.5000 0.5000 0.5000  12 Os 2.98
4 Os 0.0000 0.0000 0.5000  2 Li 2.11
5 Os 0.5000 0.0000 0.0000  2 Li 2.11

***

No. 11
Crystalline ZnRe2Se at its relaxed geometry. Source: the Alexandria database, functional GGA-PBE.

Calculated values
The calculation puts the energy above the most stable polymorph in this dataset at 0.512 eV/atom. The space-group type is I-42d. The calculation puts the spin magnetization at 0.00 μB per cell. The density of states at the Fermi level is 5.5 states/eV/cell. For the uncorrected formation energy, the calculation gives 16.35 kcal/mol of atoms.

Lattice parameters (Å, degrees): 3.8435 3.8435 9.6982 78.57 78.57 90.00
With the nearest neighbours (Å) after each atom.
Fractional positions:
1 Zn 0.5000 0.5000 0.0000  4 Re 2.63, 4 Se 2.72
2 Se 0.7500 0.2500 0.5000  4 Zn 2.72, 4 Re 2.77
3 Se 0.0000 0.0000 0.0000  4 Zn 2.72, 4 Re 2.77
4 Re 0.3750 0.4246 0.7500  2 Re 2.46, 2 Zn 2.63
5 Re 0.8750 0.8254 0.7500  2 Re 2.46, 2 Zn 2.63
6 Re 0.5754 0.1250 0.2500  2 Re 2.46, 2 Zn 2.63
7 Re 0.1746 0.6250 0.2500  2 Re 2.46, 2 Zn 2.63
8 Zn 0.2500 0.7500 0.5000  4 Re 2.63, 4 Se 2.72

***

No. 12
Crystalline Pm6NdY2Ho3 at its relaxed geometry. Source: the Alexandria database, functional GGA-PBE.

Calculated values
The space-group type is C2/m. The calculation puts the spin magnetization at 0.00 μB per cell. The density of states at the Fermi level is 14.8 states/eV/cell. As for the energy of formation from the pure elements: 13 meV per atom.

Lattice parameters (Å, degrees): 6.2602 6.2602 11.9055 95.01 95.01 119.99
With the nearest neighbours (Å) after each atom.
Fractional positions:
1 Pm 0.0845 0.4178 0.2527  3 Ho 3.57, 6 Pm 3.61-3.62, 2 Y 3.62, 1 Nd 3.62
2 Nd 0.0000 0.0000 0.0000  6 Y 3.61, 6 Pm 3.62
3 Pm 0.2487 0.2487 0.7476  3 Ho 3.58, 6 Pm 3.61-3.62, 1 Nd 3.62, 2 Y 3.62
4 Ho 0.5000 0.5000 0.5000  6 Pm 3.57-3.58, 6 Ho 3.61-3.62
5 Y 0.6666 0.3334 0.0000  3 Y 3.61-3.62, 3 Nd 3.61, 6 Pm 3.62
6 Pm 0.5822 0.9155 0.7473  3 Ho 3.57, 6 Pm 3.61-3.62, 2 Y 3.62, 1 Nd 3.62
7 Ho 0.1669 0.8331 0.5000  6 Pm 3.57-3.58, 6 Ho 3.61-3.62
8 Y 0.3334 0.6666 0.0000  3 Y 3.61-3.62, 3 Nd 3.61, 6 Pm 3.62
9 Pm 0.7513 0.7513 0.2524  3 Ho 3.58, 6 Pm 3.61-3.62, 1 Nd 3.62, 2 Y 3.62
10 Pm 0.4178 0.0845 0.2527  3 Ho 3.57, 6 Pm 3.61-3.62, 2 Y 3.62, 1 Nd 3.62
11 Ho 0.8331 0.1669 0.5000  6 Pm 3.57-3.58, 6 Ho 3.61-3.62
12 Pm 0.9155 0.5822 0.7473  3 Ho 3.57, 6 Pm 3.61-3.62, 2 Y 3.62, 1 Nd 3.62